[1]
The following is a PBE calculation of a geometry-optimized TcC2 structure, from Alexandria via LeMat-Bulk.

Computed properties:
Energy above the lowest structure with this stoichiometry (kJ per mole of atoms): 26.42
E_form (eV/atom): 0.730
DOS at the Fermi energy (states/eV per cell): 6.4

Cell: 2.5618 2.5618 15.0293 Å, 90.00 90.00 120.00°
Space group R-3m (No. 166, hexagonal axes)
Inequivalent atoms, fractional coordinates:
1 Tc 0.0000 0.0000 0.0000 [3 per cell]
2 C 0.0000 0.0000 0.1590 [6 per cell]

=====

[2]
The following is a PBE calculation of a geometry-optimized TcC2 structure, from Alexandria via LeMat-Bulk.

Computed properties:
Energy above the lowest structure with this stoichiometry (kJ per mole of atoms): 30.86
E_form (eV/atom): 0.776
DOS at the Fermi energy (states/eV per cell): 2.5

Cell: 2.4992 2.4992 8.8413 Å, 90.00 90.00 120.00°
Space group P6/mmm (No. 191)
Inequivalent atoms, fractional coordinates:
1 Tc 0.0000 0.0000 0.0000 [1 per cell]
2 C 0.3333 0.6667 0.5000 [2 per cell]